1.
# KNaHfS3 | Alexandria via LeMat-Bulk | PBE | relaxed
data_KNaHfS3
_chemical_formula_sum 'K2 Na2 Hf2 S6'
_cell_length_a 7.772
_cell_length_b 7.772
_cell_length_c 6.857
_cell_angle_alpha 90.00
_cell_angle_beta 90.00
_cell_angle_gamma 124.69
_space_group_name_H-M_alt 'P 1'
_space_group_IT_number 1
loop_
_space_group_symop_operation_xyz
'x,y,z'
loop_
_atom_site_label
_atom_site_fract_x
_atom_site_fract_y
_atom_site_fract_z
K1 0.249 0.751 0.750
K2 0.751 0.249 0.250
Na1 0.076 0.924 0.250
Na2 0.924 0.076 0.750
Hf1 0.445 0.555 0.250
Hf2 0.555 0.445 0.750
S1 0.268 0.268 0.000
S2 0.268 0.268 0.500
S3 0.274 0.726 0.250
S4 0.726 0.274 0.750
S5 0.732 0.732 0.000
S6 0.732 0.732 0.500
# crystal system: orthorhombic
# total moment: 0.00 μB per formula unit
# formation energy without anion corrections: -1.439 eV per atom


2.
# KNa2HfSb | Alexandria via LeMat-Bulk | PBE | relaxed
data_KNa2HfSb
_chemical_formula_sum 'K1 Na2 Hf1 Sb1'
_cell_length_a 5.966
_cell_length_b 5.966
_cell_length_c 6.279
_cell_angle_alpha 90.00
_cell_angle_beta 90.00
_cell_angle_gamma 90.00
_space_group_name_H-M_alt 'P 1'
_space_group_IT_number 1
loop_
_space_group_symop_operation_xyz
'x,y,z'
loop_
_atom_site_label
_atom_site_fract_x
_atom_site_fract_y
_atom_site_fract_z
K1 0.000 0.000 0.000
Na1 0.000 0.500 0.500
Na2 0.500 0.000 0.500
Hf1 0.000 0.000 0.500
Sb1 0.500 0.500 0.000
# crystal system: tetragonal
# total moment: 2.00 μB per formula unit
# formation energy without anion corrections: 1.303 eV per atom


3.
# KNa2HfSn | Alexandria via LeMat-Bulk | PBE | relaxed
data_KNa2HfSn
_chemical_formula_sum 'K1 Na2 Hf1 Sn1'
_cell_length_a 5.969
_cell_length_b 5.969
_cell_length_c 5.611
_cell_angle_alpha 90.00
_cell_angle_beta 90.00
_cell_angle_gamma 90.00
_space_group_name_H-M_alt 'P 1'
_space_group_IT_number 1
loop_
_space_group_symop_operation_xyz
'x,y,z'
loop_
_atom_site_label
_atom_site_fract_x
_atom_site_fract_y
_atom_site_fract_z
K1 0.000 0.000 0.000
Na1 0.000 0.500 0.500
Na2 0.500 0.000 0.500
Hf1 0.500 0.500 0.000
Sn1 0.500 0.500 0.500
# crystal system: tetragonal
# energy of formation: 437 meV/atom
# total moment: 0.79 μB per formula unit


4.
# KNaHf2Zr | Alexandria via LeMat-Bulk | PBE | relaxed
data_KNaHf2Zr
_chemical_formula_sum 'K1 Na1 Hf2 Zr1'
_cell_length_a 5.228
_cell_length_b 5.228
_cell_length_c 6.409
_cell_angle_alpha 90.00
_cell_angle_beta 90.00
_cell_angle_gamma 90.00
_space_group_name_H-M_alt 'P 1'
_space_group_IT_number 1
loop_
_space_group_symop_operation_xyz
'x,y,z'
loop_
_atom_site_label
_atom_site_fract_x
_atom_site_fract_y
_atom_site_fract_z
K1 0.000 0.000 0.000
Na1 0.500 0.500 0.000
Hf1 0.000 0.500 0.500
Hf2 0.500 0.000 0.500
Zr1 0.000 0.000 0.500
# crystal system: tetragonal
# energy of formation: 1203 meV/atom
# total moment: 0.00 μB per formula unit


5.
# KHf3Nb | Alexandria via LeMat-Bulk | PBE | relaxed
data_KHf3Nb
_chemical_formula_sum 'K1 Hf3 Nb1'
_cell_length_a 5.272
_cell_length_b 5.272
_cell_length_c 5.272
_cell_angle_alpha 90.00
_cell_angle_beta 90.00
_cell_angle_gamma 90.00
_space_group_name_H-M_alt 'P 1'
_space_group_IT_number 1
loop_
_space_group_symop_operation_xyz
'x,y,z'
loop_
_atom_site_label
_atom_site_fract_x
_atom_site_fract_y
_atom_site_fract_z
K1 0.000 0.000 0.000
Hf1 0.000 0.500 0.500
Hf2 0.500 0.000 0.500
Hf3 0.500 0.500 0.000
Nb1 0.500 0.500 0.500
# crystal system: cubic
# energy of formation: 1070 meV/atom
# total moment: 0.00 μB per formula unit


6.
# KHf3Nb | Alexandria via LeMat-Bulk | PBE | relaxed
data_KHf3Nb
_chemical_formula_sum 'K1 Hf3 Nb1'
_cell_length_a 4.811
_cell_length_b 4.811
_cell_length_c 4.811
_cell_angle_alpha 90.00
_cell_angle_beta 90.00
_cell_angle_gamma 90.00
_space_group_name_H-M_alt 'P 1'
_space_group_IT_number 1
loop_
_space_group_symop_operation_xyz
'x,y,z'
loop_
_atom_site_label
_atom_site_fract_x
_atom_site_fract_y
_atom_site_fract_z
K1 0.000 0.000 0.000
Hf1 0.000 0.000 0.500
Hf2 0.000 0.500 0.000
Hf3 0.500 0.000 0.000
Nb1 0.500 0.500 0.500
# crystal system: cubic
# energy of formation: 2198 meV/atom
# total moment: 0.00 μB per formula unit


7.
# KHfNb3 | Alexandria via LeMat-Bulk | PBE | relaxed
data_KHfNb3
_chemical_formula_sum 'K1 Hf1 Nb3'
_cell_length_a 5.132
_cell_length_b 5.132
_cell_length_c 5.132
_cell_angle_alpha 90.00
_cell_angle_beta 90.00
_cell_angle_gamma 90.00
_space_group_name_H-M_alt 'P 1'
_space_group_IT_number 1
loop_
_space_group_symop_operation_xyz
'x,y,z'
loop_
_atom_site_label
_atom_site_fract_x
_atom_site_fract_y
_atom_site_fract_z
K1 0.000 0.000 0.000
Hf1 0.500 0.500 0.500
Nb1 0.000 0.500 0.500
Nb2 0.500 0.000 0.500
Nb3 0.500 0.500 0.000
# crystal system: cubic
# energy of formation: 1743 meV/atom
# total moment: 0.99 μB per formula unit


8.
# KHf2Nb | Alexandria via LeMat-Bulk | PBE | relaxed
data_KHf2Nb
_chemical_formula_sum 'K4 Hf8 Nb4'
_cell_length_a 7.429
_cell_length_b 7.429
_cell_length_c 12.921
_cell_angle_alpha 90.00
_cell_angle_beta 90.00
_cell_angle_gamma 90.00
_space_group_name_H-M_alt 'P 1'
_space_group_IT_number 1
loop_
_space_group_symop_operation_xyz
'x,y,z'
loop_
_atom_site_label
_atom_site_fract_x
_atom_site_fract_y
_atom_site_fract_z
K1 0.000 0.250 0.375
K2 0.000 0.750 0.625
K3 0.500 0.250 0.125
K4 0.500 0.750 0.875
Hf1 0.000 0.000 0.000
Hf2 0.000 0.500 0.000
Hf3 0.250 0.250 0.750
Hf4 0.250 0.750 0.250
Hf5 0.500 0.000 0.500
Hf6 0.500 0.500 0.500
Hf7 0.750 0.250 0.750
Hf8 0.750 0.750 0.250
Nb1 0.000 0.250 0.875
Nb2 0.000 0.750 0.125
Nb3 0.500 0.250 0.625
Nb4 0.500 0.750 0.375
# crystal system: tetragonal
# energy of formation: 1577 meV/atom
# total moment: 0.00 μB per formula unit


9.
# KHf2Nb | Alexandria via LeMat-Bulk | PBE | relaxed
data_KHf2Nb
_chemical_formula_sum 'K4 Hf8 Nb4'
_cell_length_a 7.169
_cell_length_b 7.169
_cell_length_c 7.169
_cell_angle_alpha 90.00
_cell_angle_beta 90.00
_cell_angle_gamma 90.00
_space_group_name_H-M_alt 'P 1'
_space_group_IT_number 1
loop_
_space_group_symop_operation_xyz
'x,y,z'
loop_
_atom_site_label
_atom_site_fract_x
_atom_site_fract_y
_atom_site_fract_z
K1 0.000 0.000 0.000
K2 0.000 0.500 0.500
K3 0.500 0.000 0.500
K4 0.500 0.500 0.000
Hf1 0.250 0.250 0.250
Hf2 0.250 0.250 0.750
Hf3 0.250 0.750 0.250
Hf4 0.250 0.750 0.750
Hf5 0.750 0.250 0.250
Hf6 0.750 0.250 0.750
Hf7 0.750 0.750 0.250
Hf8 0.750 0.750 0.750
Nb1 0.000 0.000 0.500
Nb2 0.000 0.500 0.000
Nb3 0.500 0.000 0.000
Nb4 0.500 0.500 0.500
# crystal system: cubic
# energy of formation: 1076 meV/atom
# total moment: 0.00 μB per formula unit


10.
# KHf2NbO8 | Alexandria via LeMat-Bulk | PBE | relaxed
data_KHf2NbO8
_chemical_formula_sum 'K1 Hf2 Nb1 O8'
_cell_length_a 4.867
_cell_length_b 4.867
_cell_length_c 7.252
_cell_angle_alpha 90.45
_cell_angle_beta 90.45
_cell_angle_gamma 89.03
_space_group_name_H-M_alt 'P 1'
_space_group_IT_number 1
loop_
_space_group_symop_operation_xyz
'x,y,z'
loop_
_atom_site_label
_atom_site_fract_x
_atom_site_fract_y
_atom_site_fract_z
K1 0.000 0.000 0.000
Hf1 0.498 0.498 0.714
Hf2 0.502 0.502 0.286
Nb1 0.000 0.000 0.500
O1 0.199 0.793 0.303
O2 0.207 0.801 0.697
O3 0.304 0.304 0.498
O4 0.390 0.390 0.998
O5 0.610 0.610 0.002
O6 0.696 0.696 0.502
O7 0.793 0.199 0.303
O8 0.801 0.207 0.697
# crystal system: monoclinic
# total moment: 0.00 μB per formula unit
# formation energy without anion corrections: -2.556 eV per atom


11.
# K2HfNbO6 | Alexandria via LeMat-Bulk | PBE | relaxed
data_K2HfNbO6
_chemical_formula_sum 'K2 Hf1 Nb1 O6'
_cell_length_a 5.821
_cell_length_b 5.821
_cell_length_c 5.821
_cell_angle_alpha 60.00
_cell_angle_beta 60.00
_cell_angle_gamma 60.00
_space_group_name_H-M_alt 'P 1'
_space_group_IT_number 1
loop_
_space_group_symop_operation_xyz
'x,y,z'
loop_
_atom_site_label
_atom_site_fract_x
_atom_site_fract_y
_atom_site_fract_z
K1 0.250 0.250 0.250
K2 0.750 0.750 0.750
Hf1 0.000 0.000 0.000
Nb1 0.500 0.500 0.500
O1 0.254 0.254 0.746
O2 0.254 0.746 0.254
O3 0.254 0.746 0.746
O4 0.746 0.254 0.254
O5 0.746 0.254 0.746
O6 0.746 0.746 0.254
# crystal system: cubic
# total moment: 0.88 μB per formula unit
# formation energy without anion corrections: -2.500 eV per atom


12.
# KHfNb2O8 | Alexandria via LeMat-Bulk | PBE | relaxed
data_KHfNb2O8
_chemical_formula_sum 'K1 Hf1 Nb2 O8'
_cell_length_a 5.789
_cell_length_b 5.789
_cell_length_c 7.687
_cell_angle_alpha 103.79
_cell_angle_beta 103.79
_cell_angle_gamma 64.37
_space_group_name_H-M_alt 'P 1'
_space_group_IT_number 1
loop_
_space_group_symop_operation_xyz
'x,y,z'
loop_
_atom_site_label
_atom_site_fract_x
_atom_site_fract_y
_atom_site_fract_z
K1 0.000 0.000 0.000
Hf1 0.000 0.000 0.500
Nb1 0.408 0.408 0.753
Nb2 0.592 0.592 0.247
O1 0.211 0.737 0.681
O2 0.216 0.216 0.629
O3 0.263 0.789 0.319
O4 0.388 0.388 0.998
O5 0.612 0.612 0.002
O6 0.737 0.211 0.681
O7 0.784 0.784 0.371
O8 0.789 0.263 0.319
# crystal system: monoclinic
# total moment: 1.04 μB per formula unit
# formation energy without anion corrections: -2.548 eV per atom


13.
# KHfScNb2 | Alexandria via LeMat-Bulk | PBE | relaxed
data_KHfScNb2
_chemical_formula_sum 'K1 Hf1 Sc1 Nb2'
_cell_length_a 5.023
_cell_length_b 5.023
_cell_length_c 5.674
_cell_angle_alpha 90.00
_cell_angle_beta 90.00
_cell_angle_gamma 90.00
_space_group_name_H-M_alt 'P 1'
_space_group_IT_number 1
loop_
_space_group_symop_operation_xyz
'x,y,z'
loop_
_atom_site_label
_atom_site_fract_x
_atom_site_fract_y
_atom_site_fract_z
K1 0.000 0.000 0.000
Hf1 0.000 0.000 0.500
Sc1 0.500 0.500 0.000
Nb1 0.000 0.500 0.500
Nb2 0.500 0.000 0.500
# crystal system: tetragonal
# energy of formation: 1604 meV/atom
# total moment: 0.27 μB per formula unit


14.
# KNdHfSnO6 | Alexandria via LeMat-Bulk | PBE | relaxed
data_KNdHfSnO6
_chemical_formula_sum 'K1 Nd1 Hf1 Sn1 O6'
_cell_length_a 5.800
_cell_length_b 5.800
_cell_length_c 5.800
_cell_angle_alpha 60.00
_cell_angle_beta 60.00
_cell_angle_gamma 60.00
_space_group_name_H-M_alt 'P 1'
_space_group_IT_number 1
loop_
_space_group_symop_operation_xyz
'x,y,z'
loop_
_atom_site_label
_atom_site_fract_x
_atom_site_fract_y
_atom_site_fract_z
K1 0.000 0.000 0.000
Nd1 0.500 0.500 0.500
Hf1 0.750 0.750 0.750
Sn1 0.250 0.250 0.250
O1 0.000 0.000 0.500
O2 0.000 0.500 0.000
O3 0.000 0.500 0.500
O4 0.500 0.000 0.000
O5 0.500 0.000 0.500
O6 0.500 0.500 0.000
# crystal system: cubic
# total moment: 0.00 μB per formula unit
# formation energy without anion corrections: -2.556 eV per atom


15.
# K4Nd3HfS8 | Alexandria via LeMat-Bulk | PBE | relaxed
data_K4Nd3HfS8
_chemical_formula_sum 'K4 Nd3 Hf1 S8'
_cell_length_a 8.774
_cell_length_b 8.774
_cell_length_c 8.774
_cell_angle_alpha 55.35
_cell_angle_beta 55.35
_cell_angle_gamma 55.35
_space_group_name_H-M_alt 'P 1'
_space_group_IT_number 1
loop_
_space_group_symop_operation_xyz
'x,y,z'
loop_
_atom_site_label
_atom_site_fract_x
_atom_site_fract_y
_atom_site_fract_z
K1 0.000 0.000 0.000
K2 0.000 0.500 0.500
K3 0.500 0.000 0.500
K4 0.500 0.500 0.000
Nd1 0.000 0.000 0.500
Nd2 0.000 0.500 0.000
Nd3 0.500 0.000 0.000
Hf1 0.500 0.500 0.500
S1 0.238 0.238 0.238
S2 0.260 0.721 0.721
S3 0.279 0.279 0.740
S4 0.279 0.740 0.279
S5 0.721 0.260 0.721
S6 0.721 0.721 0.260
S7 0.740 0.279 0.279
S8 0.762 0.762 0.762
# crystal system: trigonal
# total moment: 0.00 μB per formula unit
# formation energy without anion corrections: -1.728 eV per atom


16.
# K3Nd2HfS6 | Alexandria via LeMat-Bulk | PBE | relaxed
data_K3Nd2HfS6
_chemical_formula_sum 'K3 Nd2 Hf1 S6'
_cell_length_a 6.991
_cell_length_b 6.991
_cell_length_c 7.766
_cell_angle_alpha 98.69
_cell_angle_beta 98.69
_cell_angle_gamma 120.01
_space_group_name_H-M_alt 'P 1'
_space_group_IT_number 1
loop_
_space_group_symop_operation_xyz
'x,y,z'
loop_
_atom_site_label
_atom_site_fract_x
_atom_site_fract_y
_atom_site_fract_z
K1 0.000 0.000 0.000
K2 0.329 0.671 0.000
K3 0.671 0.329 0.000
Nd1 0.166 0.834 0.500
Nd2 0.834 0.166 0.500
Hf1 0.500 0.500 0.500
S1 0.125 0.432 0.296
S2 0.262 0.262 0.704
S3 0.432 0.125 0.296
S4 0.568 0.875 0.704
S5 0.738 0.738 0.296
S6 0.875 0.568 0.704
# crystal system: monoclinic
# total moment: 0.00 μB per formula unit
# formation energy without anion corrections: -1.697 eV per atom


17.
# K2Nd2HfTe6 | Alexandria via LeMat-Bulk | PBE | relaxed
data_K2Nd2HfTe6
_chemical_formula_sum 'K2 Nd2 Hf1 Te6'
_cell_length_a 7.663
_cell_length_b 7.663
_cell_length_c 8.837
_cell_angle_alpha 98.85
_cell_angle_beta 98.85
_cell_angle_gamma 119.49
_space_group_name_H-M_alt 'P 1'
_space_group_IT_number 1
loop_
_space_group_symop_operation_xyz
'x,y,z'
loop_
_atom_site_label
_atom_site_fract_x
_atom_site_fract_y
_atom_site_fract_z
K1 0.174 0.826 0.000
K2 0.826 0.174 0.000
Nd1 0.332 0.668 0.500
Nd2 0.668 0.332 0.500
Hf1 0.000 0.000 0.500
Te1 0.075 0.382 0.707
Te2 0.236 0.236 0.295
Te3 0.382 0.075 0.707
Te4 0.618 0.925 0.293
Te5 0.764 0.764 0.705
Te6 0.925 0.618 0.293
# crystal system: monoclinic
# total moment: 0.00 μB per formula unit
# formation energy without anion corrections: -1.226 eV per atom


18.
# K3Nd3HfTe8 | Alexandria via LeMat-Bulk | PBE | relaxed
data_K3Nd3HfTe8
_chemical_formula_sum 'K3 Nd3 Hf1 Te8'
_cell_length_a 9.920
_cell_length_b 9.920
_cell_length_c 9.920
_cell_angle_alpha 53.89
_cell_angle_beta 53.89
_cell_angle_gamma 53.89
_space_group_name_H-M_alt 'P 1'
_space_group_IT_number 1
loop_
_space_group_symop_operation_xyz
'x,y,z'
loop_
_atom_site_label
_atom_site_fract_x
_atom_site_fract_y
_atom_site_fract_z
K1 0.000 0.500 0.500
K2 0.500 0.000 0.500
K3 0.500 0.500 0.000
Nd1 0.000 0.000 0.500
Nd2 0.000 0.500 0.000
Nd3 0.500 0.000 0.000
Hf1 0.500 0.500 0.500
Te1 0.239 0.239 0.239
Te2 0.258 0.722 0.722
Te3 0.278 0.278 0.742
Te4 0.278 0.742 0.278
Te5 0.722 0.258 0.722
Te6 0.722 0.722 0.258
Te7 0.742 0.278 0.278
Te8 0.761 0.761 0.761
# crystal system: trigonal
# total moment: 0.00 μB per formula unit
# formation energy without anion corrections: -1.276 eV per atom


19.
# KHf2Ni | Alexandria via LeMat-Bulk | PBE | relaxed
data_KHf2Ni
_chemical_formula_sum 'K4 Hf8 Ni4'
_cell_length_a 6.809
_cell_length_b 6.809
_cell_length_c 6.809
_cell_angle_alpha 90.00
_cell_angle_beta 90.00
_cell_angle_gamma 90.00
_space_group_name_H-M_alt 'P 1'
_space_group_IT_number 1
loop_
_space_group_symop_operation_xyz
'x,y,z'
loop_
_atom_site_label
_atom_site_fract_x
_atom_site_fract_y
_atom_site_fract_z
K1 0.000 0.000 0.000
K2 0.000 0.500 0.500
K3 0.500 0.000 0.500
K4 0.500 0.500 0.000
Hf1 0.250 0.250 0.250
Hf2 0.250 0.250 0.750
Hf3 0.250 0.750 0.250
Hf4 0.250 0.750 0.750
Hf5 0.750 0.250 0.250
Hf6 0.750 0.250 0.750
Hf7 0.750 0.750 0.250
Hf8 0.750 0.750 0.750
Ni1 0.000 0.000 0.500
Ni2 0.000 0.500 0.000
Ni3 0.500 0.000 0.000
Ni4 0.500 0.500 0.500
# crystal system: cubic
# energy of formation: 928 meV/atom
# total moment: 0.00 μB per formula unit


20.
# K3HfNi | Alexandria via LeMat-Bulk | PBE | relaxed
data_K3HfNi
_chemical_formula_sum 'K3 Hf1 Ni1'
_cell_length_a 6.053
_cell_length_b 6.053
_cell_length_c 6.053
_cell_angle_alpha 90.00
_cell_angle_beta 90.00
_cell_angle_gamma 90.00
_space_group_name_H-M_alt 'P 1'
_space_group_IT_number 1
loop_
_space_group_symop_operation_xyz
'x,y,z'
loop_
_atom_site_label
_atom_site_fract_x
_atom_site_fract_y
_atom_site_fract_z
K1 0.000 0.000 0.500
K2 0.000 0.500 0.000
K3 0.500 0.000 0.000
Hf1 0.500 0.500 0.500
Ni1 0.000 0.000 0.000
# crystal system: cubic
# energy of formation: 1386 meV/atom
# total moment: 3.00 μB per formula unit